This record from the Alexandria database describes a geometry-optimized AcSbTeO2 structure. The functional is PBE-GGA.

```
data_AcSbTeO2
_chemical_formula_sum 'Ac2 Sb2 Te2 O4'
_cell_length_a 7.1946
_cell_length_b 7.1946
_cell_length_c 5.7371
_cell_angle_alpha 90.00
_cell_angle_beta 90.00
_cell_angle_gamma 132.13
_space_group_name_H-M_alt 'P 1'
_space_group_IT_number 1
loop_
_space_group_symop_operation_xyz
'x,y,z'
loop_
_atom_site_label
_atom_site_type_symbol
_atom_site_fract_x
_atom_site_fract_y
_atom_site_fract_z
_atom_site_occupancy
Ac1 Ac 0.1130 0.8870 0.7500 1
Ac2 Ac 0.8870 0.1130 0.2500 1
Sb1 Sb 0.4237 0.5763 0.7500 1
Sb2 Sb 0.5763 0.4237 0.2500 1
Te1 Te 0.2458 0.7542 0.2500 1
Te2 Te 0.7542 0.2458 0.7500 1
O1 O 0.2722 0.2722 0.0000 1
O2 O 0.2722 0.2722 0.5000 1
O3 O 0.7278 0.7278 0.0000 1
O4 O 0.7278 0.7278 0.5000 1
```

## Properties
total energy: -6.17 eV/atom
crystal system: orthorhombic


This record from the Alexandria database describes a geometry-optimized RbSc3Fe structure. The functional is PBE-GGA.

```
data_RbSc3Fe
_chemical_formula_sum 'Rb1 Sc3 Fe1'
_cell_length_a 4.9060
_cell_length_b 4.9060
_cell_length_c 4.9060
_cell_angle_alpha 90.00
_cell_angle_beta 90.00
_cell_angle_gamma 90.00
_space_group_name_H-M_alt 'P 1'
_space_group_IT_number 1
loop_
_space_group_symop_operation_xyz
'x,y,z'
loop_
_atom_site_label
_atom_site_type_symbol
_atom_site_fract_x
_atom_site_fract_y
_atom_site_fract_z
_atom_site_occupancy
Rb1 Rb 0.0000 0.0000 0.0000 1
Sc1 Sc 0.0000 0.0000 0.5000 1
Sc2 Sc 0.0000 0.5000 0.0000 1
Sc3 Sc 0.5000 0.0000 0.0000 1
Fe1 Fe 0.5000 0.5000 0.5000 1
```

## Properties
total energy: -3.65 eV/atom
offset from the most stable computed form: 1688 meV per atom
energy relative to the elements: 2034 meV/atom
crystal system: cubic


This record from the Alexandria database describes a geometry-optimized Y2SeN structure. The functional is PBE-GGA.

```
data_Y2SeN
_chemical_formula_sum 'Y4 Se2 N2'
_cell_length_a 3.8184
_cell_length_b 3.8184
_cell_length_c 10.9445
_cell_angle_alpha 90.00
_cell_angle_beta 90.00
_cell_angle_gamma 90.00
_space_group_name_H-M_alt 'P 1'
_space_group_IT_number 1
loop_
_space_group_symop_operation_xyz
'x,y,z'
loop_
_atom_site_label
_atom_site_type_symbol
_atom_site_fract_x
_atom_site_fract_y
_atom_site_fract_z
_atom_site_occupancy
Y1 Y 0.2500 0.2500 0.1005 1
Y2 Y 0.2500 0.2500 0.6833 1
Y3 Y 0.7500 0.7500 0.3167 1
Y4 Y 0.7500 0.7500 0.8995 1
Se1 Se 0.2500 0.2500 0.3775 1
Se2 Se 0.7500 0.7500 0.6225 1
N1 N 0.2500 0.2500 0.8908 1
N2 N 0.7500 0.7500 0.1092 1
```

## Properties
total energy: -7.80 eV/atom
offset from the most stable computed form: 93 meV per atom
crystal system: tetragonal


This record from the Alexandria database describes a geometry-optimized La2Ta structure. The functional is PBE-GGA.

```
data_La2Ta
_chemical_formula_sum 'La4 Ta2'
_cell_length_a 6.6012
_cell_length_b 6.6012
_cell_length_c 6.6012
_cell_angle_alpha 51.74
_cell_angle_beta 51.74
_cell_angle_gamma 51.74
_space_group_name_H-M_alt 'P 1'
_space_group_IT_number 1
loop_
_space_group_symop_operation_xyz
'x,y,z'
loop_
_atom_site_label
_atom_site_type_symbol
_atom_site_fract_x
_atom_site_fract_y
_atom_site_fract_z
_atom_site_occupancy
La1 La 0.0000 0.0000 0.0000 1
La2 La 0.1817 0.8183 0.5000 1
La3 La 0.5000 0.1817 0.8183 1
La4 La 0.8183 0.5000 0.1817 1
Ta1 Ta 0.3333 0.3333 0.3333 1
Ta2 Ta 0.6667 0.6667 0.6667 1
```

## Properties
total energy: -6.68 eV/atom
offset from the most stable computed form: 281 meV per atom
energy relative to the elements: 559 meV/atom
crystal system: trigonal


This record from the Alexandria database describes a geometry-optimized Hg3RuF structure. The functional is PBE-GGA.

```
data_Hg3RuF
_chemical_formula_sum 'Hg3 Ru1 F1'
_cell_length_a 5.2623
_cell_length_b 5.2623
_cell_length_c 5.2623
_cell_angle_alpha 90.00
_cell_angle_beta 90.00
_cell_angle_gamma 90.00
_space_group_name_H-M_alt 'P 1'
_space_group_IT_number 1
loop_
_space_group_symop_operation_xyz
'x,y,z'
loop_
_atom_site_label
_atom_site_type_symbol
_atom_site_fract_x
_atom_site_fract_y
_atom_site_fract_z
_atom_site_occupancy
Hg1 Hg 0.0000 0.0000 0.5000 1
Hg2 Hg 0.0000 0.5000 0.0000 1
Hg3 Hg 0.5000 0.0000 0.0000 1
Ru1 Ru 0.0000 0.0000 0.0000 1
F1 F 0.5000 0.5000 0.5000 1
```

## Properties
total energy: -2.11 eV/atom
offset from the most stable computed form: 0 meV per atom
crystal system: cubic


This record from the Alexandria database describes a geometry-optimized Sc2MnRe structure. The functional is PBE-GGA.

```
data_Sc2MnRe
_chemical_formula_sum 'Sc4 Mn2 Re2'
_cell_length_a 5.8437
_cell_length_b 5.8437
_cell_length_c 5.8437
_cell_angle_alpha 103.44
_cell_angle_beta 103.44
_cell_angle_gamma 122.36
_space_group_name_H-M_alt 'P 1'
_space_group_IT_number 1
loop_
_space_group_symop_operation_xyz
'x,y,z'
loop_
_atom_site_label
_atom_site_type_symbol
_atom_site_fract_x
_atom_site_fract_y
_atom_site_fract_z
_atom_site_occupancy
Sc1 Sc 0.1246 0.6250 0.9996 1
Sc2 Sc 0.3750 0.3746 0.4996 1
Sc3 Sc 0.6254 0.1250 0.0004 1
Sc4 Sc 0.8750 0.8754 0.5004 1
Mn1 Mn 0.0000 0.0000 0.0000 1
Mn2 Mn 0.7500 0.2500 0.5000 1
Re1 Re 0.2500 0.7500 0.5000 1
Re2 Re 0.5000 0.5000 0.0000 1
```

## Properties
total energy: -8.00 eV/atom
energy relative to the elements: 573 meV/atom
crystal system: tetragonal


This record from the Alexandria database describes a geometry-optimized RbNaLa2Cl8 structure. The functional is PBE-GGA.

```
data_RbNaLa2Cl8
_chemical_formula_sum 'Rb1 Na1 La2 Cl8'
_cell_length_a 6.9426
_cell_length_b 8.9283
_cell_length_c 6.9452
_cell_angle_alpha 90.00
_cell_angle_beta 94.26
_cell_angle_gamma 90.00
_space_group_name_H-M_alt 'P 1'
_space_group_IT_number 1
loop_
_space_group_symop_operation_xyz
'x,y,z'
loop_
_atom_site_label
_atom_site_type_symbol
_atom_site_fract_x
_atom_site_fract_y
_atom_site_fract_z
_atom_site_occupancy
Rb1 Rb 0.0000 0.0000 0.0000 1
Na1 Na 0.0000 0.5000 0.0000 1
La1 La 0.5000 0.2557 0.5000 1
La2 La 0.5000 0.7443 0.5000 1
Cl1 Cl 0.2181 0.2783 0.2067 1
Cl2 Cl 0.2181 0.7217 0.2067 1
Cl3 Cl 0.3141 0.5000 0.6767 1
Cl4 Cl 0.3232 0.0000 0.6661 1
Cl5 Cl 0.6768 0.0000 0.3339 1
Cl6 Cl 0.6859 0.5000 0.3233 1
Cl7 Cl 0.7819 0.2783 0.7933 1
Cl8 Cl 0.7819 0.7217 0.7933 1
```

## Properties
total energy: -4.44 eV/atom
crystal system: monoclinic


This record from the Alexandria database describes a geometry-optimized RbSm2ZnO5 structure. The functional is PBE-GGA.

```
data_RbSm2ZnO5
_chemical_formula_sum 'Rb2 Sm4 Zn2 O10'
_cell_length_a 7.5625
_cell_length_b 7.5625
_cell_length_c 7.5625
_cell_angle_alpha 126.87
_cell_angle_beta 126.87
_cell_angle_gamma 78.46
_space_group_name_H-M_alt 'P 1'
_space_group_IT_number 1
loop_
_space_group_symop_operation_xyz
'x,y,z'
loop_
_atom_site_label
_atom_site_type_symbol
_atom_site_fract_x
_atom_site_fract_y
_atom_site_fract_z
_atom_site_occupancy
Rb1 Rb 0.2500 0.2500 0.0000 1
Rb2 Rb 0.7500 0.7500 0.0000 1
Sm1 Sm 0.1729 0.6729 0.8459 1
Sm2 Sm 0.3271 0.1729 0.5000 1
Sm3 Sm 0.6729 0.8271 0.5000 1
Sm4 Sm 0.8271 0.3271 0.1541 1
Zn1 Zn 0.2500 0.7500 0.5000 1
Zn2 Zn 0.7500 0.2500 0.5000 1
O1 O 0.0000 0.0000 0.0000 1
O2 O 0.0139 0.2405 0.5000 1
O3 O 0.2405 0.7405 0.2266 1
O4 O 0.2595 0.4861 0.5000 1
O5 O 0.4861 0.9861 0.2266 1
O6 O 0.5000 0.5000 0.0000 1
O7 O 0.5139 0.0139 0.7734 1
O8 O 0.7405 0.5139 0.5000 1
O9 O 0.7595 0.2595 0.7734 1
O10 O 0.9861 0.7595 0.5000 1
```

## Properties
total energy: -6.39 eV/atom
crystal system: tetragonal


This record from the Alexandria database describes a geometry-optimized Ca2PrCuO4 structure. The functional is PBE-GGA.

```
data_Ca2PrCuO4
_chemical_formula_sum 'Ca4 Pr2 Cu2 O8'
_cell_length_a 5.8785
_cell_length_b 5.8785
_cell_length_c 11.6459
_cell_angle_alpha 90.00
_cell_angle_beta 90.00
_cell_angle_gamma 146.37
_space_group_name_H-M_alt 'P 1'
_space_group_IT_number 1
loop_
_space_group_symop_operation_xyz
'x,y,z'
loop_
_atom_site_label
_atom_site_type_symbol
_atom_site_fract_x
_atom_site_fract_y
_atom_site_fract_z
_atom_site_occupancy
Ca1 Ca 0.1282 0.8718 0.5522 1
Ca2 Ca 0.1282 0.8718 0.9478 1
Ca3 Ca 0.8718 0.1282 0.0522 1
Ca4 Ca 0.8718 0.1282 0.4478 1
Pr1 Pr 0.3836 0.6164 0.7500 1
Pr2 Pr 0.6164 0.3836 0.2500 1
Cu1 Cu 0.3512 0.6488 0.2500 1
Cu2 Cu 0.6488 0.3512 0.7500 1
O1 O 0.0400 0.9600 0.7500 1
O2 O 0.2224 0.7776 0.1251 1
O3 O 0.2224 0.7776 0.3749 1
O4 O 0.5000 0.5000 0.0000 1
O5 O 0.5000 0.5000 0.5000 1
O6 O 0.7776 0.2224 0.6251 1
O7 O 0.7776 0.2224 0.8749 1
O8 O 0.9600 0.0400 0.2500 1
```

## Properties
total energy: -6.56 eV/atom
crystal system: orthorhombic


This record from the Alexandria database describes a geometry-optimized CaMnBe2 structure. The functional is PBE-GGA.

```
data_CaMnBe2
_chemical_formula_sum 'Ca1 Mn1 Be2'
_cell_length_a 2.9654
_cell_length_b 3.6832
_cell_length_c 5.8772
_cell_angle_alpha 90.00
_cell_angle_beta 104.42
_cell_angle_gamma 90.00
_space_group_name_H-M_alt 'P 1'
_space_group_IT_number 1
loop_
_space_group_symop_operation_xyz
'x,y,z'
loop_
_atom_site_label
_atom_site_type_symbol
_atom_site_fract_x
_atom_site_fract_y
_atom_site_fract_z
_atom_site_occupancy
Ca1 Ca 0.0000 0.0000 0.0000 1
Mn1 Mn 0.7048 0.5000 0.4030 1
Be1 Be 0.2593 0.0000 0.5095 1
Be2 Be 0.3525 0.5000 0.7026 1
```

## Properties
total energy: -4.31 eV/atom
offset from the most stable computed form: 172 meV per atom
energy relative to the elements: 344 meV/atom
crystal system: monoclinic


This record from the Alexandria database describes a geometry-optimized Pm4SiS2Br structure. The functional is PBE-GGA.

```
data_Pm4SiS2Br
_chemical_formula_sum 'Pm4 Si1 S2 Br1'
_cell_length_a 7.1241
_cell_length_b 4.1099
_cell_length_c 7.3122
_cell_angle_alpha 90.00
_cell_angle_beta 108.85
_cell_angle_gamma 90.00
_space_group_name_H-M_alt 'P 1'
_space_group_IT_number 1
loop_
_space_group_symop_operation_xyz
'x,y,z'
loop_
_atom_site_label
_atom_site_type_symbol
_atom_site_fract_x
_atom_site_fract_y
_atom_site_fract_z
_atom_site_occupancy
Pm1 Pm 0.2260 0.0000 0.2193 1
Pm2 Pm 0.2413 0.5000 0.7656 1
Pm3 Pm 0.7587 0.5000 0.2344 1
Pm4 Pm 0.7740 0.0000 0.7807 1
Si1 Si 0.5000 0.0000 0.0000 1
S1 S 0.0000 0.0000 0.5000 1
S2 S 0.0000 0.5000 0.0000 1
Br1 Br 0.5000 0.5000 0.5000 1
```

## Properties
total energy: -5.83 eV/atom
crystal system: monoclinic


This record from the Alexandria database describes a geometry-optimized RbVAgI6 structure. The functional is PBE-GGA.

```
data_RbVAgI6
_chemical_formula_sum 'Rb1 V1 Ag1 I6'
_cell_length_a 7.8148
_cell_length_b 7.8148
_cell_length_c 7.8590
_cell_angle_alpha 92.24
_cell_angle_beta 92.24
_cell_angle_gamma 123.47
_space_group_name_H-M_alt 'P 1'
_space_group_IT_number 1
loop_
_space_group_symop_operation_xyz
'x,y,z'
loop_
_atom_site_label
_atom_site_type_symbol
_atom_site_fract_x
_atom_site_fract_y
_atom_site_fract_z
_atom_site_occupancy
Rb1 Rb 0.0000 0.0000 0.0000 1
V1 V 0.3365 0.6635 0.5000 1
Ag1 Ag 0.6537 0.3463 0.5000 1
I1 I 0.0146 0.6355 0.6977 1
I2 I 0.0185 0.4144 0.2724 1
I3 I 0.3339 0.3837 0.6895 1
I4 I 0.3645 0.9854 0.3023 1
I5 I 0.5856 0.9815 0.7276 1
I6 I 0.6163 0.6661 0.3105 1
```

## Properties
total energy: -3.01 eV/atom
crystal system: monoclinic


Theoretical density: 7.67; 3.88; 5.64; 9.30; 8.23; 7.44; 2.59; 6.59; 5.19; 3.02; 6.16; 4.19 (g/cm3)